SrLaSnP2 after structural relaxation. Source: the Alexandria database, functional PBE.

formation energy = 0.0173 eV/atom
electronic total energy = -4.269 eV per atom
total magnetic moment = 0.0 μB/f.u.

a b c (Å): 5.4829 5.4829 5.9182
angles (deg): 90.00 90.00 90.00
Closest atoms and distances in Å follow each position.
Fractional positions:
Sr1 0.0000 0.0000 0.0000  4 Sn 3.88, 8 P 4.03
La1 0.5000 0.5000 0.5000  4 P 2.74, 2 Sn 2.96
Sn1 0.5000 0.5000 0.0000  2 La 2.96
P1 0.0000 0.5000 0.5000  2 La 2.74
P2 0.5000 0.0000 0.5000  2 La 2.74